{"formula": "HfZr2NiAs4Pd3", "functional": "PBE-GGA", "state": "relaxed", "polymorph_energy_ev_per_atom": 0.004, "space_group": "Pm", "rho_g_cm3": 8.759, "cell": [[6.6195, 0.0000, 0.0000], [0.0000, 3.9183, 0.0000], [-0.0158, 0.0000, 7.5912]], "species": ["As", "As", "As", "As", "Hf", "Ni", "Pd", "Pd", "Pd", "Zr", "Zr"], "fractional_positions": [[0.7619, 0.5000, 0.0946], [0.2468, 0.5000, 0.3767], [0.7504, 0.0000, 0.6453], [0.2298, 0.0000, 0.8804], [0.0299, 0.0000, 0.1798], [0.6273, 0.0000, 0.9467], [0.3678, 0.5000, 0.0622], [0.8444, 0.5000, 0.4366], [0.1367, 0.0000, 0.5641], [0.5397, 0.0000, 0.3162], [0.4673, 0.5000, 0.6948]]}



{"formula": "Y4Nb2Cu3C3", "functional": "PBE-GGA", "state": "relaxed", "space_group": "C2/c", "rho_g_cm3": 6.070, "cell": [[5.1499, -2.9744, 0.0000], [5.1499, 2.9744, 0.0000], [-3.2874, 0.0000, 13.7188]], "species": ["C", "C", "C", "C", "C", "C", "Cu", "Cu", "Cu", "Cu", "Cu", "Cu", "Nb", "Nb", "Nb", "Nb", "Y", "Y", "Y", "Y", "Y", "Y", "Y", "Y"], "fractional_positions": [[0.5000, 0.0000, 0.0000], [0.7981, 0.3513, 0.0003], [0.6487, 0.2019, 0.4997], [0.0000, 0.5000, 0.5000], [0.3513, 0.7981, 0.5003], [0.2019, 0.6487, 0.9997], [0.8201, 0.4192, 0.2488], [0.3451, 0.6549, 0.2500], [0.5808, 0.1799, 0.2512], [0.4192, 0.8201, 0.7488], [0.6549, 0.3451, 0.7500], [0.1799, 0.5808, 0.7513], [0.5232, 0.3418, 0.0741], [0.6582, 0.4768, 0.4259], [0.3418, 0.5232, 0.5741], [0.4768, 0.6582, 0.9259], [0.1901, 0.0462, 0.1083], [0.8793, 0.7032, 0.1089], [0.2968, 0.1207, 0.3911], [0.9538, 0.8099, 0.3917], [0.0462, 0.1901, 0.6083], [0.7032, 0.8793, 0.6089], [0.1207, 0.2968, 0.8911], [0.8099, 0.9538, 0.8917]]}



{"formula": "CsPrSc", "functional": "PBE-GGA", "state": "relaxed", "polymorph_energy_ev_per_atom": 0.000, "space_group": "F-43m", "rho_g_cm3": 3.613, "cell": [[3.9345, -4.2959, -1.0385], [3.5719, -1.8526, 4.3385], [-0.7740, -5.3603, 2.3835]], "species": ["Cs", "Pr", "Sc"], "fractional_positions": [[0.2500, 0.2500, 0.2500], [0.7500, 0.7500, 0.7500], [0.0000, 0.0000, 0.0000]]}



{"formula": "LiTbPd", "functional": "PBE-GGA", "state": "relaxed", "polymorph_energy_ev_per_atom": 0.000, "space_group": "F-43m", "rho_g_cm3": 6.472, "cell": [[0.0000, 3.2690, 3.2690], [3.2690, 0.0000, 3.2690], [3.2690, 3.2690, 0.0000]], "species": ["Li", "Pd", "Tb"], "fractional_positions": [[0.5000, 0.5000, 0.5000], [0.2500, 0.2500, 0.2500], [0.0000, 0.0000, 0.0000]]}



{"formula": "TbTlFeTe3", "functional": "PBE-GGA", "state": "relaxed", "polymorph_energy_ev_per_atom": 0.166, "space_group": "C2/m", "rho_g_cm3": 6.976, "cell": [[8.9312, -2.3024, 0.0000], [8.9312, 2.3024, 0.0000], [-2.1694, 0.0000, 9.2837]], "species": ["Fe", "Fe", "Tb", "Tb", "Te", "Te", "Te", "Te", "Te", "Te", "Tl", "Tl"], "fractional_positions": [[0.5020, 0.5020, 0.1368], [0.4980, 0.4980, 0.8632], [0.1736, 0.1736, 0.0851], [0.8264, 0.8264, 0.9149], [0.0000, 0.0000, 0.0000], [0.3473, 0.3473, 0.1476], [0.6510, 0.6510, 0.2878], [0.5000, 0.5000, 0.5000], [0.3490, 0.3490, 0.7122], [0.6527, 0.6527, 0.8524], [0.8634, 0.8634, 0.4417], [0.1366, 0.1366, 0.5583]]}



{"formula": "PrReAu", "functional": "PBE-GGA", "state": "relaxed", "space_group": "F-43m", "formation_enthalpy_0k_kj_per_mol_atoms": 121, "rho_g_cm3": 10.792, "cell": [[0.0000, 3.4291, 3.4291], [3.4291, 0.0000, 3.4291], [3.4291, 3.4291, 0.0000]], "species": ["Au", "Pr", "Re"], "fractional_positions": [[0.2500, 0.2500, 0.2500], [0.0000, 0.0000, 0.0000], [0.7500, 0.7500, 0.7500]]}



{"formula": "DyGa3S", "functional": "PBE-GGA", "state": "relaxed", "space_group": "Pm-3m", "rho_g_cm3": 5.885, "cell": [[4.8476, 0.0000, 0.0000], [0.0000, 4.8476, 0.0000], [0.0000, 0.0000, 4.8476]], "species": ["Dy", "Ga", "Ga", "Ga", "S"], "fractional_positions": [[0.0000, 0.0000, 0.0000], [0.5000, 0.5000, 0.0000], [0.5000, 0.0000, 0.5000], [0.0000, 0.5000, 0.5000], [0.5000, 0.5000, 0.5000]]}



{"formula": "BeFe", "functional": "PBE-GGA", "state": "relaxed", "space_group": "Fm-3m", "rho_g_cm3": 5.398, "cell": [[-2.6670, -1.1914, -0.8578], [-2.5853, 1.5190, 0.5261], [-1.5414, 1.2305, -2.3191]], "species": ["Be", "Fe"], "fractional_positions": [[0.0000, 0.0000, 0.0000], [0.5000, 0.5000, 0.5000]]}



DFT total energy: -6.884 -7.332 -2.803 -4.323 -4.600 -5.572 -3.461 -5.716 (eV/atom)